{
  "formula": "LiRh4Se",
  "functional": "PBE-GGA",
  "state": "relaxed",
  "total_magnetization_mub_per_cell": 0.0,
  "raw_formation_energy_ev_per_atom": 0.262,
  "lattice": [[0.000, 3.648, 3.648], [3.648, 0.000, 3.648], [3.648, 3.648, 0.000]],
  "species": ["Li", "Rh", "Rh", "Rh", "Rh", "Se"],
  "frac_coords": [[0.000, 0.000, 0.000], [0.125, 0.625, 0.625], [0.625, 0.125, 0.625], [0.625, 0.625, 0.125], [0.625, 0.625, 0.625], [0.250, 0.250, 0.250]]
}

{
  "formula": "BaNa2CaRu",
  "functional": "PBE-GGA",
  "state": "relaxed",
  "total_energy_ha_per_atom": -0.0825,
  "total_magnetization_mub_per_cell": 0.0,
  "lattice": [[6.102, 0.000, 0.000], [0.000, 6.102, 0.000], [0.000, 0.000, 5.118]],
  "species": ["Ba", "Na", "Na", "Ca", "Ru"],
  "frac_coords": [[0.000, 0.000, 0.000], [0.000, 0.500, 0.000], [0.500, 0.000, 0.000], [0.500, 0.500, 0.500], [0.000, 0.000, 0.500]]
}

{
  "formula": "Te3MoPd",
  "functional": "PBE-GGA",
  "state": "relaxed",
  "total_magnetization_mub_per_cell": 0.0,
  "relative_energy_mev_per_atom": 0.0,
  "raw_formation_energy_ev_per_atom": -0.017,
  "lattice": [[4.358, 0.000, 0.000], [0.000, 8.565, 0.000], [0.000, 0.000, 6.701]],
  "species": ["Te", "Te", "Te", "Te", "Te", "Te", "Mo", "Mo", "Pd", "Pd"],
  "frac_coords": [[0.000, 0.000, 0.000], [0.000, 0.500, 0.500], [0.500, 0.190, 0.447], [0.500, 0.310, 0.947], [0.500, 0.690, 0.947], [0.500, 0.810, 0.447], [0.500, 0.000, 0.782], [0.500, 0.500, 0.282], [0.000, 0.000, 0.409], [0.000, 0.500, 0.909]]
}

{
  "formula": "SrTl3Ga3",
  "functional": "PBE-GGA",
  "state": "relaxed",
  "total_energy_ha_per_atom": -0.0883,
  "total_magnetization_mub_per_cell": 0.0,
  "lattice": [[7.769, 0.000, 0.000], [0.000, 7.769, 0.000], [0.000, 0.000, 7.769]],
  "species": ["Sr", "Sr", "Tl", "Tl", "Tl", "Tl", "Tl", "Tl", "Ga", "Ga", "Ga", "Ga", "Ga", "Ga"],
  "frac_coords": [[0.000, 0.000, 0.000], [0.500, 0.500, 0.500], [0.000, 0.250, 0.500], [0.000, 0.750, 0.500], [0.250, 0.500, 0.000], [0.500, 0.000, 0.250], [0.500, 0.000, 0.750], [0.750, 0.500, 0.000], [0.000, 0.500, 0.250], [0.000, 0.500, 0.750], [0.250, 0.000, 0.500], [0.500, 0.250, 0.000], [0.500, 0.750, 0.000], [0.750, 0.000, 0.500]]
}

{
  "formula": "NaSrLa3",
  "functional": "PBE-GGA",
  "state": "relaxed",
  "total_magnetization_mub_per_cell": 0.0,
  "relative_energy_mev_per_atom": 254.3,
  "lattice": [[6.149, 0.000, 0.000], [0.000, 6.149, 0.000], [0.000, 0.000, 6.149]],
  "species": ["Na", "Sr", "La", "La", "La"],
  "frac_coords": [[0.000, 0.000, 0.000], [0.500, 0.500, 0.500], [0.000, 0.500, 0.500], [0.500, 0.000, 0.500], [0.500, 0.500, 0.000]]
}

{
  "formula": "La2RhCl",
  "functional": "PBE-GGA",
  "state": "relaxed",
  "total_magnetization_mub_per_cell": 0.0,
  "relative_energy_mev_per_atom": 996.8,
  "raw_formation_energy_ev_per_atom": -0.289,
  "lattice": [[7.183, 0.000, 0.000], [0.000, 7.183, 0.000], [0.000, 0.000, 7.183]],
  "species": ["La", "La", "La", "La", "La", "La", "La", "La", "Rh", "Rh", "Rh", "Rh", "Cl", "Cl", "Cl", "Cl"],
  "frac_coords": [[0.000, 0.000, 0.000], [0.000, 0.500, 0.500], [0.250, 0.250, 0.250], [0.250, 0.750, 0.750], [0.500, 0.000, 0.500], [0.500, 0.500, 0.000], [0.750, 0.250, 0.750], [0.750, 0.750, 0.250], [0.250, 0.250, 0.750], [0.250, 0.750, 0.250], [0.750, 0.250, 0.250], [0.750, 0.750, 0.750], [0.000, 0.000, 0.500], [0.000, 0.500, 0.000], [0.500, 0.000, 0.000], [0.500, 0.500, 0.500]]
}

{
  "formula": "TmSc2Ag2",
  "functional": "PBE-GGA",
  "state": "relaxed",
  "total_magnetization_mub_per_cell": 0.0,
  "relative_energy_mev_per_atom": 0.0,
  "lattice": [[3.463, 0.000, 0.000], [0.000, 5.011, 0.000], [-1.729, 0.000, 12.836]],
  "species": ["Tm", "Tm", "Sc", "Sc", "Sc", "Sc", "Ag", "Ag", "Ag", "Ag"],
  "frac_coords": [[0.146, 0.250, 0.293], [0.854, 0.750, 0.707], [0.047, 0.750, 0.094], [0.236, 0.750, 0.471], [0.764, 0.250, 0.529], [0.953, 0.250, 0.906], [0.357, 0.250, 0.715], [0.455, 0.750, 0.910], [0.545, 0.250, 0.090], [0.643, 0.750, 0.285]]
}

{
  "formula": "Ca2ScRhN",
  "functional": "PBE-GGA",
  "state": "relaxed",
  "total_magnetization_mub_per_cell": 2.0,
  "raw_formation_energy_ev_per_atom": 0.311,
  "lattice": [[5.836, 0.000, 0.000], [0.000, 5.836, 0.000], [0.000, 0.000, 3.768]],
  "species": ["Ca", "Ca", "Sc", "Rh", "N"],
  "frac_coords": [[0.000, 0.500, 0.000], [0.500, 0.000, 0.000], [0.000, 0.000, 0.500], [0.500, 0.500, 0.000], [0.500, 0.500, 0.500]]
}